No. 1
VASP calculation (PBE) on an optimized crystal structure of Pm3DyTm4.

Lattice parameters (Å, degrees): 6.1637 3.5612 11.7147 90.00 100.12 90.00
Last column: nearest neighbours and their distance in Å.
Atoms (fractional coordinates):
Pm: 0.0000 0.0000 0.0000  6 Tm 3.53, 4 Dy 3.56, 2 Pm 3.56
Pm: 0.0000 0.5000 0.5000  6 Tm 3.55, 6 Pm 3.56
Pm: 0.5000 0.0000 0.5000  6 Tm 3.55, 6 Pm 3.56
Dy: 0.5000 0.5000 0.0000  6 Tm 3.53, 4 Pm 3.56, 2 Dy 3.56
Tm: 0.2498 0.5000 0.2487  1 Dy 3.53, 5 Pm 3.53-3.55, 6 Tm 3.56
Tm: 0.2508 0.0000 0.7514  2 Dy 3.53, 4 Pm 3.53-3.55, 6 Tm 3.56
Tm: 0.7492 0.0000 0.2486  2 Dy 3.53, 4 Pm 3.53-3.55, 6 Tm 3.56
Tm: 0.7502 0.5000 0.7513  1 Dy 3.53, 5 Pm 3.53-3.55, 6 Tm 3.56

## Properties
**Offset from the most stable computed form**: 2 kJ/mol of formula units
**Formation energy from the elements**: 0.2 eV/f.u.
**Spin magnetization**: 0.0 μB per cell
**Space-group type**: No. 10



No. 2
VASP calculation (PBE) on an optimized crystal structure of PmDy6Tm8.

Lattice parameters (Å, degrees): 8.5436 8.5436 8.5436 63.18 63.18 63.18
Last column: nearest neighbours and their distance in Å.
Atoms (fractional coordinates):
Pm: 0.0000 0.0000 0.0000  6 Dy 3.40, 6 Tm 3.50
Dy: 0.1110 0.5387 0.2254  4 Tm 3.35-3.69, 1 Pm 3.40, 4 Dy 3.43-3.71
Dy: 0.2254 0.1110 0.5387  4 Tm 3.35-3.69, 1 Pm 3.40, 4 Dy 3.43-3.71
Dy: 0.4613 0.7746 0.8890  4 Tm 3.35-3.69, 1 Pm 3.40, 4 Dy 3.43-3.71
Dy: 0.5387 0.2254 0.1110  4 Tm 3.35-3.69, 1 Pm 3.40, 4 Dy 3.43-3.71
Dy: 0.7746 0.8890 0.4613  4 Tm 3.35-3.69, 1 Pm 3.40, 4 Dy 3.43-3.71
Dy: 0.8890 0.4613 0.7746  4 Tm 3.35-3.69, 1 Pm 3.40, 4 Dy 3.43-3.71
Tm: 0.1103 0.7205 0.7427  3 Dy 3.36-3.69, 5 Tm 3.36-3.39, 1 Pm 3.50
Tm: 0.2573 0.8897 0.2795  3 Dy 3.36-3.69, 5 Tm 3.36-3.39, 1 Pm 3.50
Tm: 0.2795 0.2573 0.8897  3 Dy 3.36-3.69, 5 Tm 3.36-3.39, 1 Pm 3.50
Tm: 0.4237 0.4237 0.4237  4 Tm 3.11-3.38, 3 Dy 3.35
Tm: 0.5763 0.5763 0.5763  4 Tm 3.11-3.38, 3 Dy 3.35
Tm: 0.7205 0.7427 0.1103  3 Dy 3.36-3.69, 5 Tm 3.36-3.39, 1 Pm 3.50
Tm: 0.7427 0.1103 0.7205  3 Dy 3.36-3.69, 5 Tm 3.36-3.39, 1 Pm 3.50
Tm: 0.8897 0.2795 0.2573  3 Dy 3.36-3.69, 5 Tm 3.36-3.39, 1 Pm 3.50

## Properties
**Formation energy from the elements**: 2.0 eV/f.u.
**Spin magnetization**: 0.0 μB per cell
**Space-group type**: No. 148



No. 3
VASP calculation (PBE) on an optimized crystal structure of PmDyTm2.

Lattice parameters (Å, degrees): 5.0192 5.0192 4.9841 90.00 90.00 90.00
Last column: nearest neighbours and their distance in Å.
Atoms (fractional coordinates):
Pm: 0.0000 0.0000 0.0000  8 Tm 3.54, 4 Dy 3.55
Dy: 0.5000 0.5000 0.0000  8 Tm 3.54, 4 Pm 3.55
Tm: 0.0000 0.5000 0.5000  4 Dy 3.54, 4 Pm 3.54, 4 Tm 3.55
Tm: 0.5000 0.0000 0.5000  4 Dy 3.54, 4 Pm 3.54, 4 Tm 3.55

## Properties
**Offset from the most stable computed form**: 3 kJ/mol of formula units
**Formation energy from the elements**: 0.1 eV/f.u.
**Spin magnetization**: 0.0 μB per cell
**Space-group type**: No. 123



Repeat the first record exactly.
VASP calculation (PBE) on an optimized crystal structure of Pm3DyTm4.

Lattice parameters (Å, degrees): 6.1637 3.5612 11.7147 90.00 100.12 90.00
Last column: nearest neighbours and their distance in Å.
Atoms (fractional coordinates):
Pm: 0.0000 0.0000 0.0000  6 Tm 3.53, 4 Dy 3.56, 2 Pm 3.56
Pm: 0.0000 0.5000 0.5000  6 Tm 3.55, 6 Pm 3.56
Pm: 0.5000 0.0000 0.5000  6 Tm 3.55, 6 Pm 3.56
Dy: 0.5000 0.5000 0.0000  6 Tm 3.53, 4 Pm 3.56, 2 Dy 3.56
Tm: 0.2498 0.5000 0.2487  1 Dy 3.53, 5 Pm 3.53-3.55, 6 Tm 3.56
Tm: 0.2508 0.0000 0.7514  2 Dy 3.53, 4 Pm 3.53-3.55, 6 Tm 3.56
Tm: 0.7492 0.0000 0.2486  2 Dy 3.53, 4 Pm 3.53-3.55, 6 Tm 3.56
Tm: 0.7502 0.5000 0.7513  1 Dy 3.53, 5 Pm 3.53-3.55, 6 Tm 3.56

## Properties
**Offset from the most stable computed form**: 2 kJ/mol of formula units
**Formation energy from the elements**: 0.2 eV/f.u.
**Spin magnetization**: 0.0 μB per cell
**Space-group type**: No. 10